AgTe2ICl after structural relaxation. Source: the Alexandria database, functional GGA-PBE.

a = 5.1682 Å, b = 5.1682 Å, c = 7.6258 Å
α = 90.00°, β = 90.00°, γ = 90.00°
Last column: nearest neighbours and their distance in Å.
Fractional positions:
Ag (0.5000, 0.5000, 0.5000)  4 I 3.65
Te (0.0000, 0.5000, 0.0000)  2 Cl 2.58
Te (0.5000, 0.0000, 0.0000)  2 Cl 2.58
I (0.0000, 0.0000, 0.5000)  4 Ag 3.65, 2 Cl 3.81
Cl (0.0000, 0.0000, 0.0000)  4 Te 2.58

Summary:
E_tot = -1.851 eV/atom
E_form (uncorrected) = 0.6554 eV/atom
Energy above the most stable polymorph in this dataset = 0.981 eV per formula unit
Space-group type = P4/mmm